# PuPaAl2

Crystalline PuPaAl2 at its relaxed geometry (PBE, the Alexandria database).

ΔE to the lowest computed polymorph ... 34 kJ/mol of formula units
ΔH_f (0 K) ... -117 meV per atom

a = 3.998 Å, b = 3.998 Å, c = 5.618 Å
α = 90.00°, β = 90.00°, γ = 90.00°
Space group P4/mmm (No. 123)
One atom of each set of equivalent atoms:
Pu: 0.000 0.000 0.000 (multiplicity 1)
Pa: 0.000 0.000 0.500 (multiplicity 1)
Al: 0.500 0.500 0.247 (multiplicity 2)



# EuMgRu4

Crystalline EuMgRu4 at its relaxed geometry (PBE, the Alexandria database).

ΔH_f (0 K) ... 114 meV per atom

a = 7.491 Å, b = 7.491 Å, c = 7.491 Å
α = 90.00°, β = 90.00°, γ = 90.00°
Space group F-43m (No. 216)
One atom of each set of equivalent atoms:
Eu: 0.000 0.000 0.000 (multiplicity 4)
Mg: 0.250 0.250 0.750 (multiplicity 4)
Ru: 0.125 0.125 0.375 (multiplicity 16)



# Ba2Ni3N2

Crystalline Ba2Ni3N2 at its relaxed geometry (PBE, the Alexandria database).

E_form (uncorrected) ... -39.5 kJ per mole of atoms

a = 7.454 Å, b = 10.495 Å, c = 7.099 Å
α = 90.00°, β = 90.00°, γ = 90.00°
Space group Aea2 (No. 41)
One atom of each set of equivalent atoms:
Ba: 0.093 0.166 0.000 (multiplicity 8)
Ni: 0.000 0.000 0.528 (multiplicity 4)
Ni: 0.243 0.420 0.247 (multiplicity 8)
N: 0.221 0.423 0.995 (multiplicity 8)



| no. | ρ (g/cm3) | DOS(E_F) (states/eV/cell) | calculated total energy (eV/atom) |
| --- | --- | --- | --- |
| 1 | 9.78 | 7.66 | -7.945 |
| 2 | 9.17 | 24.29 | -8.048 |
| 3 | 5.73 | 17.64 | -5.815 |